Entry 1:
Below is a relaxed Th2ScInC crystal, with properties calculated at the GGA-PBE level.

The structure in extended XYZ format:
```
5
Lattice="5.104 0.000 0.000 0.000 5.104 0.000 0.000 0.000 4.651" Properties=species:S:1:pos:R:3 pbc="T T T"
Th 0.000 2.552 0.000
Th 2.552 0.000 0.000
Sc 0.000 0.000 2.326
In 2.552 2.552 2.326
C 0.000 0.000 0.000
```

Properties
E ... -7.01 eV/atom
Energy of formation from the pure elements ... -0.38 eV/atom

---

Entry 2:
Below is a relaxed ThSc2InC crystal, with properties calculated at the GGA-PBE level.

The structure in extended XYZ format:
```
5
Lattice="4.679 0.000 0.000 0.000 4.679 0.000 0.000 0.000 5.016" Properties=species:S:1:pos:R:3 pbc="T T T"
Th 0.000 0.000 0.000
Sc 0.000 2.340 2.508
Sc 2.340 0.000 2.508
In 2.340 2.340 0.000
C 0.000 0.000 2.508
```

Properties
E ... -6.88 eV/atom
Energy of formation from the pure elements ... -0.47 eV/atom

---

Entry 3:
Below is a relaxed Sc2TiInC crystal, with properties calculated at the GGA-PBE level.

The structure in extended XYZ format:
```
5
Lattice="4.526 0.000 0.000 0.000 4.526 0.000 0.000 0.000 4.303" Properties=species:S:1:pos:R:3 pbc="T T T"
Sc 0.000 2.263 0.000
Sc 2.263 0.000 0.000
Ti 0.000 0.000 2.151
In 2.263 2.263 2.151
C 0.000 0.000 0.000
```

Properties
E ... -7.11 eV/atom
Energy of formation from the pure elements ... -0.60 eV/atom

---

Entry 4:
Below is a relaxed TmSc2InC crystal, with properties calculated at the GGA-PBE level.

The structure in extended XYZ format:
```
5
Lattice="4.586 0.000 0.000 0.000 4.586 0.000 0.000 0.000 4.797" Properties=species:S:1:pos:R:3 pbc="T T T"
Tm 0.000 0.000 0.000
Sc 0.000 2.293 2.399
Sc 2.293 0.000 2.399
In 2.293 2.293 0.000
C 0.000 0.000 2.399
```

Properties
E ... -6.44 eV/atom
Energy of formation from the pure elements ... -0.62 eV/atom

---

Entry 5:
Below is a relaxed Tm2ScInC crystal, with properties calculated at the GGA-PBE level.

The structure in extended XYZ format:
```
5
Lattice="4.830 0.000 0.000 0.000 4.830 0.000 0.000 0.000 4.585" Properties=species:S:1:pos:R:3 pbc="T T T"
Tm 0.000 2.415 0.000
Tm 2.415 0.000 0.000
Sc 0.000 0.000 2.292
In 2.415 2.415 2.292
C 0.000 0.000 0.000
```

Properties
E ... -6.03 eV/atom
Energy of formation from the pure elements ... -0.59 eV/atom

---

Entry 6:
Below is a relaxed ScV2InC crystal, with properties calculated at the GGA-PBE level.

The structure in extended XYZ format:
```
5
Lattice="4.092 0.000 0.000 0.000 4.092 0.000 0.000 0.000 4.490" Properties=species:S:1:pos:R:3 pbc="T T T"
Sc 0.000 0.000 0.000
V 0.000 2.046 2.245
V 2.046 0.000 2.245
In 2.046 2.046 0.000
C 0.000 0.000 2.245
```

Properties
E ... -7.57 eV/atom
Energy of formation from the pure elements ... -0.26 eV/atom

---

Entry 7:
Below is a relaxed Sc2InWC crystal, with properties calculated at the GGA-PBE level.

The structure in extended XYZ format:
```
5
Lattice="4.583 0.000 0.000 0.000 4.583 0.000 0.000 0.000 4.134" Properties=species:S:1:pos:R:3 pbc="T T T"
Sc 0.000 2.292 0.000
Sc 2.292 0.000 0.000
In 0.000 0.000 2.067
W 2.292 2.292 2.067
C 2.292 2.292 0.000
```

Properties
E ... -7.87 eV/atom
Energy of formation from the pure elements ... -0.35 eV/atom

---

Entry 8:
Below is a relaxed Y2ScInC crystal, with properties calculated at the GGA-PBE level.

The structure in extended XYZ format:
```
5
Lattice="4.930 0.000 0.000 0.000 4.930 0.000 0.000 0.000 4.589" Properties=species:S:1:pos:R:3 pbc="T T T"
Y 0.000 2.465 0.000
Y 2.465 0.000 0.000
Sc 0.000 0.000 2.295
In 2.465 2.465 2.295
C 0.000 0.000 0.000
```

Properties
E ... -6.81 eV/atom
Energy of formation from the pure elements ... -0.57 eV/atom

---

Entry 9:
Below is a relaxed YSc2InC crystal, with properties calculated at the GGA-PBE level.

The structure in extended XYZ format:
```
5
Lattice="4.601 0.000 0.000 0.000 4.601 0.000 0.000 0.000 4.878" Properties=species:S:1:pos:R:3 pbc="T T T"
Y 0.000 0.000 0.000
Sc 0.000 2.300 2.439
Sc 2.300 0.000 2.439
In 2.300 2.300 0.000
C 0.000 0.000 2.439
```

Properties
E ... -6.82 eV/atom
Energy of formation from the pure elements ... -0.60 eV/atom

---

Entry 10:
Below is a relaxed Zr2ScInC crystal, with properties calculated at the GGA-PBE level.

The structure in extended XYZ format:
```
5
Lattice="4.590 0.000 0.000 0.000 4.590 0.000 0.000 0.000 4.536" Properties=species:S:1:pos:R:3 pbc="T T T"
Zr 0.000 2.295 0.000
Zr 2.295 0.000 0.000
Sc 0.000 0.000 2.268
In 2.295 2.295 2.268
C 0.000 0.000 0.000
```

Properties
E ... -7.66 eV/atom
Energy of formation from the pure elements ... -0.58 eV/atom

---

Entry 11:
Below is a relaxed InCSe2 crystal, with properties calculated at the GGA-PBE level.

The structure in extended XYZ format:
```
4
Lattice="1.606 0.927 8.790 -1.606 0.927 8.790 0.000 -1.854 8.790" Properties=species:S:1:pos:R:3 pbc="T T T"
In 0.000 0.000 0.000
C 0.000 0.000 13.186
Se 0.000 0.000 3.029
Se 0.000 0.000 23.342
```

Properties
Uncorrected formation energy ... 1.04 eV/atom
E ... -3.70 eV/atom
E above lowest polymorph ... 0.348 eV per atom

---

Entry 12:
Below is a relaxed In2CSe crystal, with properties calculated at the GGA-PBE level.

The structure in extended XYZ format:
```
4
Lattice="0.000 3.405 3.405 3.405 0.000 3.405 3.405 3.405 0.000" Properties=species:S:1:pos:R:3 pbc="T T T"
In 1.703 1.703 1.703
In 5.108 5.108 5.108
C 0.000 0.000 0.000
Se 3.405 3.405 3.405
```

Properties
Uncorrected formation energy ... 1.23 eV/atom
E ... -3.32 eV/atom

---

Entry 13:
Below is a relaxed InCSe2 crystal, with properties calculated at the GGA-PBE level.

The structure in extended XYZ format:
```
8
Lattice="-3.358 3.358 4.047 3.358 -3.358 4.047 3.358 3.358 -4.047" Properties=species:S:1:pos:R:3 pbc="T T T"
In 0.000 0.000 0.000
In 0.000 3.358 2.024
C 3.358 0.000 2.024
C 0.000 0.000 4.047
Se 1.679 -0.810 3.035
Se 2.548 1.679 1.012
Se 1.679 4.168 -1.012
Se 0.810 1.679 5.059
```

Properties
Uncorrected formation energy ... 0.78 eV/atom
E ... -3.96 eV/atom
E above lowest polymorph ... 0.088 eV per atom

---

Entry 14:
Below is a relaxed In2CSe crystal, with properties calculated at the GGA-PBE level.

The structure in extended XYZ format:
```
8
Lattice="-2.886 2.886 5.458 2.886 -2.886 5.458 2.886 2.886 -5.458" Properties=species:S:1:pos:R:3 pbc="T T T"
In 4.328 0.957 -1.365
In 0.957 1.443 1.365
In -1.443 1.929 4.094
In 1.929 1.443 6.823
C 0.000 0.000 0.000
C 0.000 2.886 2.729
Se 2.886 0.000 2.729
Se 0.000 0.000 5.458
```

Properties
Uncorrected formation energy ... 0.21 eV/atom
E ... -4.34 eV/atom

---

Entry 15:
Below is a relaxed InC3Se crystal, with properties calculated at the GGA-PBE level.

The structure in extended XYZ format:
```
5
Lattice="4.372 0.000 0.000 0.000 4.372 0.000 0.000 0.000 4.372" Properties=species:S:1:pos:R:3 pbc="T T T"
In 0.000 0.000 0.000
C 0.000 0.000 2.186
C 0.000 2.186 0.000
C 2.186 0.000 0.000
Se 2.186 2.186 2.186
```

Properties
Uncorrected formation energy ... 3.24 eV/atom
E ... -3.54 eV/atom
E above lowest polymorph ... 0.551 eV per atom

---

Entry 16:
Below is a relaxed InCSe2 crystal, with properties calculated at the GGA-PBE level.

The structure in extended XYZ format:
```
4
Lattice="2.343 1.353 6.913 -2.343 1.353 6.913 0.000 -2.706 6.913" Properties=species:S:1:pos:R:3 pbc="T T T"
In 0.000 0.000 0.000
C 0.000 0.000 10.370
Se 0.000 0.000 8.630
Se 0.000 0.000 12.110
```

Properties
Uncorrected formation energy ... 0.69 eV/atom
E ... -4.04 eV/atom
E above lowest polymorph ... 0.000 eV per atom

---

Entry 17:
Below is a relaxed InC2Se crystal, with properties calculated at the GGA-PBE level.

The structure in extended XYZ format:
```
8
Lattice="-2.485 2.485 5.105 2.485 -2.485 5.105 2.485 2.485 -5.105" Properties=species:S:1:pos:R:3 pbc="T T T"
In 0.000 0.000 0.000
In 0.000 2.485 2.553
C 1.242 -1.072 3.829
C 1.413 1.242 1.276
C 1.242 3.557 -1.276
C 1.072 1.242 6.381
Se 2.485 0.000 2.553
Se 0.000 0.000 5.105
```

Properties
Uncorrected formation energy ... 1.50 eV/atom
E ... -4.67 eV/atom
E above lowest polymorph ... 0.000 eV per atom

---

Entry 18:
Below is a relaxed InC3Se crystal, with properties calculated at the GGA-PBE level.

The structure in extended XYZ format:
```
5
Lattice="4.005 0.000 0.000 0.000 4.005 0.000 0.000 0.000 4.005" Properties=species:S:1:pos:R:3 pbc="T T T"
In 0.000 0.000 0.000
C 0.000 2.002 2.002
C 2.002 0.000 2.002
C 2.002 2.002 0.000
Se 2.002 2.002 2.002
```

Properties
Uncorrected formation energy ... 2.69 eV/atom
E ... -4.09 eV/atom
E above lowest polymorph ... 0.000 eV per atom

---

Entry 19:
Below is a relaxed InCSe2 crystal, with properties calculated at the GGA-PBE level.

The structure in extended XYZ format:
```
4
Lattice="0.000 3.344 3.344 3.344 0.000 3.344 3.344 3.344 0.000" Properties=species:S:1:pos:R:3 pbc="T T T"
In 0.000 0.000 0.000
C 3.344 3.344 3.344
Se 1.672 1.672 1.672
Se 5.016 5.016 5.016
```

Properties
Uncorrected formation energy ... 1.48 eV/atom
E ... -3.25 eV/atom
E above lowest polymorph ... 0.790 eV per atom

---

Entry 20:
Below is a relaxed InC2Se crystal, with properties calculated at the GGA-PBE level.

The structure in extended XYZ format:
```
4
Lattice="0.000 3.026 3.026 3.026 0.000 3.026 3.026 3.026 0.000" Properties=species:S:1:pos:R:3 pbc="T T T"
In 0.000 0.000 0.000
C 1.513 1.513 1.513
C 4.538 4.538 4.538
Se 3.026 3.026 3.026
```

Properties
Uncorrected formation energy ... 2.38 eV/atom
E ... -3.78 eV/atom
E above lowest polymorph ... 0.883 eV per atom

---

Entry 21:
Below is a relaxed In2TeCSe crystal, with properties calculated at the GGA-PBE level.

The structure in extended XYZ format:
```
5
Lattice="5.707 0.000 0.000 0.000 5.707 0.000 0.000 0.000 5.557" Properties=species:S:1:pos:R:3 pbc="T T T"
In 0.000 2.854 0.000
In 2.854 0.000 0.000
Te 0.000 0.000 2.779
C 2.854 2.854 2.779
Se 0.000 0.000 0.000
```

Properties
Uncorrected formation energy ... 1.55 eV/atom
E ... -2.72 eV/atom

---

Entry 22:
Below is a relaxed In2SiC2 crystal, with properties calculated at the GGA-PBE level.

The structure in extended XYZ format:
```
10
Lattice="5.511 0.000 0.000 0.000 5.511 0.000 0.000 0.000 5.100" Properties=species:S:1:pos:R:3 pbc="T T T"
In 1.018 1.738 0.000
In 1.738 4.493 0.000
In 3.774 1.018 0.000
In 4.493 3.774 0.000
Si 0.000 0.000 2.550
Si 2.756 2.756 2.550
C 1.298 1.457 2.550
C 1.457 4.213 2.550
C 4.054 1.298 2.550
C 4.213 4.054 2.550
```

Properties
Uncorrected formation energy ... 1.34 eV/atom
E ... -4.53 eV/atom
E above lowest polymorph ... 0.314 eV per atom

---

Entry 23:
Below is a relaxed InSiC3 crystal, with properties calculated at the GGA-PBE level.

The structure in extended XYZ format:
```
5
Lattice="3.860 0.000 0.000 0.000 3.860 0.000 0.000 0.000 3.860" Properties=species:S:1:pos:R:3 pbc="T T T"
In 0.000 0.000 0.000
Si 1.930 1.930 1.930
C 0.000 1.930 1.930
C 1.930 0.000 1.930
C 1.930 1.930 0.000
```

Properties
Uncorrected formation energy ... 1.91 eV/atom
E ... -5.26 eV/atom
E above lowest polymorph ... 0.000 eV per atom

---

Entry 24:
Below is a relaxed In2SiC2 crystal, with properties calculated at the GGA-PBE level.

The structure in extended XYZ format:
```
5
Lattice="-2.682 2.682 2.946 2.682 -2.682 2.946 2.682 2.682 -2.946" Properties=species:S:1:pos:R:3 pbc="T T T"
In 2.682 0.000 1.473
In 0.000 2.682 1.473
Si 0.000 0.000 0.000
C 0.000 0.000 2.295
C 0.000 0.000 3.597
```

Properties
Uncorrected formation energy ... 1.03 eV/atom
E ... -4.84 eV/atom
E above lowest polymorph ... 0.000 eV per atom

---

Entry 25:
Below is a relaxed InSiC2 crystal, with properties calculated at the GGA-PBE level.

The structure in extended XYZ format:
```
4
Lattice="0.000 2.895 2.895 2.895 0.000 2.895 2.895 2.895 0.000" Properties=species:S:1:pos:R:3 pbc="T T T"
In 0.000 0.000 0.000
Si 2.895 2.895 2.895
C 1.447 1.447 1.447
C 4.342 4.342 4.342
```

Properties
Uncorrected formation energy ... 2.15 eV/atom
E ... -4.50 eV/atom
E above lowest polymorph ... 1.503 eV per atom

---

Entry 26:
Below is a relaxed InSi2C crystal, with properties calculated at the GGA-PBE level.

The structure in extended XYZ format:
```
8
Lattice="-2.665 2.665 4.871 2.665 -2.665 4.871 2.665 2.665 -4.871" Properties=species:S:1:pos:R:3 pbc="T T T"
In 0.000 0.000 0.000
In 0.000 2.665 2.435
Si 1.333 -0.764 3.653
Si 1.901 1.333 1.218
Si 1.333 3.430 -1.218
Si 0.764 1.333 6.088
C 2.665 0.000 2.435
C 0.000 0.000 4.871
```

Properties
Uncorrected formation energy ... 0.50 eV/atom
E ... -5.20 eV/atom
E above lowest polymorph ... 0.000 eV per atom

---

Entry 27:
Below is a relaxed InSiC2 crystal, with properties calculated at the GGA-PBE level.

The structure in extended XYZ format:
```
8
Lattice="-2.411 2.411 4.618 2.411 -2.411 4.618 2.411 2.411 -4.618" Properties=species:S:1:pos:R:3 pbc="T T T"
In 0.000 0.000 0.000
In 0.000 2.411 2.309
Si 2.411 0.000 2.309
Si 0.000 0.000 4.618
C 1.205 -0.898 3.463
C 1.513 1.205 1.154
C 1.205 3.309 -1.154
C 0.898 1.205 5.772
```

Properties
Uncorrected formation energy ... 0.65 eV/atom
E ... -6.00 eV/atom
E above lowest polymorph ... 0.000 eV per atom

---

Entry 28:
Below is a relaxed InSi2C crystal, with properties calculated at the GGA-PBE level.

The structure in extended XYZ format:
```
4
Lattice="0.000 3.191 3.191 3.191 0.000 3.191 3.191 3.191 0.000" Properties=species:S:1:pos:R:3 pbc="T T T"
In 0.000 0.000 0.000
Si 1.595 1.595 1.595
Si 4.786 4.786 4.786
C 3.191 3.191 3.191
```

Properties
Uncorrected formation energy ... 1.71 eV/atom
E ... -3.99 eV/atom
E above lowest polymorph ... 1.204 eV per atom